NbCoO2F | PBE with a Hubbard U | relaxed

Geometry as extended XYZ:
```
5
Lattice="3.7764 0.0000 0.0000 0.0000 3.7764 0.0000 0.0000 0.0000 3.7332" Properties=species:S:1:pos:R:3 pbc="T T T"
F 0.0000 0.0000 1.8666
Nb 1.8882 1.8882 1.8666
O 1.8882 0.0000 0.0000
O 0.0000 1.8882 0.0000
Co 0.0000 0.0000 0.0000
```

Results
**Space-group type**: P4/mmm
**Raw total energy**: -30.364 eV/cell